Here is an optimized crystal structure of TlAsPb4 from the Alexandria database. Energies are from GGA-PBE.

The energy of formation from the pure elements comes out at 0.299 eV/atom. The calculated volume comes out at 31.95 A^3/atom. The calculation puts the total magnetization at 0.000 μB per formula unit.

The structure belongs to space group F-43m (No. 216); the cell edges are 9.153, 9.153 and 9.153 Å and the angles 90.00°, 90.00° and 90.00°. Symmetry generates all atoms from Tl at (0.000, 0.000, 0.000), As at (0.250, 0.250, 0.750) and Pb at (0.125, 0.125, 0.375).